An optimized crystal structure of AcZnH2F8, computed with PBE.

a = 4.4763 Å, b = 4.5405 Å, c = 8.1754 Å
α = 89.31°, β = 89.38°, γ = 63.39°
Last column: nearest neighbours and their distance in Å.
Space group P-1 (No. 2)
Symmetry-distinct sites (fractional):
Ac1 0.0000 0.0000 0.0000 [1 per cell]  10 F 2.51-2.75
Zn1 0.0000 0.0000 0.5000 [1 per cell]  6 F 1.97-2.14
H1 0.4977 0.4978 0.7095 [2 per cell]  2 F 1.14-1.15
F1 0.2405 0.7201 0.7128 [2 per cell]  1 H 1.14
F2 0.2443 0.7262 0.2876 [2 per cell]  1 H 1.15
F3 0.2972 0.2138 0.5003 [2 per cell]  1 Zn 1.97, 1 F 1.98
F4 0.3323 0.3223 0.0046 [2 per cell]  3 Ac 2.51-2.75, 3 F 2.63-2.68, 2 H 2.71-2.73

Results
- Calculated volume: 149 Å³ per cell
- Raw total energy: -4.704 eV/atom
- Mass density: 4.990 Mg/m³